Version A
Here is a relaxed LaErIr crystal from Alexandria via LeMat-Bulk. Energies are from PBE-GGA.

POSCAR file:
```
LaErIr
1.0
6.934 0.000 0.000
0.000 6.934 0.000
0.000 0.000 6.934
La Er Ir
4 4 4
Direct
0.000 0.000 0.000 La
0.000 0.500 0.500 La
0.500 0.000 0.500 La
0.500 0.500 0.000 La
0.000 0.000 0.500 Er
0.000 0.500 0.000 Er
0.500 0.000 0.000 Er
0.500 0.500 0.500 Er
0.250 0.250 0.250 Ir
0.250 0.750 0.750 Ir
0.750 0.250 0.750 Ir
0.750 0.750 0.250 Ir
```

Results
**Size of the total moment**: 0.000 μB/f.u.

Version B
Here is a relaxed LaErIr crystal from Alexandria via LeMat-Bulk. Energies are from PBE-GGA.

POSCAR file:
```
LaErIr
1.0
6.940 0.000 0.000
0.000 6.940 0.000
-0.008 0.000 6.877
La Er Ir
4 4 4
Direct
0.000 0.005 0.250 La
0.000 0.995 0.750 La
0.500 0.495 0.750 La
0.500 0.505 0.250 La
0.000 0.497 0.750 Er
0.000 0.503 0.250 Er
0.500 0.003 0.250 Er
0.500 0.997 0.750 Er
0.250 0.250 0.000 Ir
0.250 0.750 0.500 Ir
0.750 0.250 0.500 Ir
0.750 0.750 0.000 Ir
```

Results
**Size of the total moment**: 0.000 μB/f.u.

What should be chosen as the most stable of them? Choose version B.

Version A
Here is a relaxed LiCo2Mo crystal from Alexandria via LeMat-Bulk. Energies are from PBE-GGA.

POSCAR file:
```
LiCo2Mo
1.0
3.401 0.000 0.000
0.000 3.562 0.000
0.000 0.000 7.763
Li Co Mo
2 4 2
Direct
0.000 0.000 0.000 Li
0.500 0.500 0.500 Li
0.000 0.000 0.499 Co
0.000 0.500 0.252 Co
0.500 0.000 0.752 Co
0.500 0.500 0.999 Co
0.000 0.500 0.752 Mo
0.500 0.000 0.252 Mo
```

Results
**Size of the total moment**: 0.001 μB/f.u.

Version B
Here is a relaxed LiCo2Mo crystal from Alexandria via LeMat-Bulk. Energies are from PBE-GGA.

POSCAR file:
```
LiCo2Mo
1.0
3.033 0.000 0.000
0.000 4.172 0.000
0.000 0.000 8.282
Li Co Mo
2 4 2
Direct
0.000 0.000 0.000 Li
0.500 0.500 0.000 Li
0.000 0.500 0.252 Co
0.000 0.500 0.748 Co
0.500 0.000 0.252 Co
0.500 0.000 0.748 Co
0.000 0.000 0.500 Mo
0.500 0.500 0.500 Mo
```

Results
**Size of the total moment**: 2.780 μB/f.u.

What should be chosen as the most stable of them? Choose version A.

Version A
Here is a relaxed CaTe2Ru crystal from Alexandria via LeMat-Bulk. Energies are from PBE-GGA.

POSCAR file:
```
CaTe2Ru
1.0
4.255 0.000 0.000
-2.127 3.685 0.000
0.000 0.000 6.434
Ca Te Ru
1 2 1
Direct
0.000 0.000 0.000 Ca
0.333 0.667 0.689 Te
0.667 0.333 0.311 Te
0.000 0.000 0.500 Ru
```

Results
**Size of the total moment**: 0.000 μB/f.u.

Version B
Here is a relaxed CaTe2Ru crystal from Alexandria via LeMat-Bulk. Energies are from PBE-GGA.

POSCAR file:
```
CaTe2Ru
1.0
4.225 0.000 0.000
-2.112 3.659 0.000
0.000 0.000 19.290
Ca Te Ru
3 6 3
Direct
0.000 0.000 0.000 Ca
0.333 0.667 0.667 Ca
0.667 0.333 0.333 Ca
0.000 0.000 0.231 Te
0.000 0.000 0.769 Te
0.333 0.667 0.436 Te
0.333 0.667 0.897 Te
0.667 0.333 0.103 Te
0.667 0.333 0.564 Te
0.000 0.000 0.500 Ru
0.333 0.667 0.167 Ru
0.667 0.333 0.833 Ru
```

Results
**Size of the total moment**: 0.000 μB/f.u.

What should be chosen as the most stable of them? Choose version A.

Version A
Here is a relaxed CaScMn2 crystal from Alexandria via LeMat-Bulk. Energies are from PBE-GGA.

POSCAR file:
```
CaScMn2
1.0
3.435 0.000 0.000
0.000 3.435 0.000
0.000 0.000 7.205
Ca Sc Mn
1 1 2
Direct
0.000 0.000 0.000 Ca
0.000 0.000 0.500 Sc
0.500 0.500 0.299 Mn
0.500 0.500 0.701 Mn
```

Results
**Size of the total moment**: 6.205 μB/f.u.

Version B
Here is a relaxed CaScMn2 crystal from Alexandria via LeMat-Bulk. Energies are from PBE-GGA.

POSCAR file:
```
CaScMn2
1.0
4.572 0.000 0.000
0.000 4.572 0.000
0.000 0.000 18.266
Ca Sc Mn
4 4 8
Direct
0.000 0.250 0.375 Ca
0.000 0.750 0.625 Ca
0.500 0.250 0.125 Ca
0.500 0.750 0.875 Ca
0.000 0.250 0.875 Sc
0.000 0.750 0.125 Sc
0.500 0.250 0.625 Sc
0.500 0.750 0.375 Sc
0.000 0.000 0.000 Mn
0.000 0.500 0.000 Mn
0.250 0.250 0.750 Mn
0.250 0.750 0.250 Mn
0.500 0.000 0.500 Mn
0.500 0.500 0.500 Mn
0.750 0.250 0.750 Mn
0.750 0.750 0.250 Mn
```

Results
**Size of the total moment**: 3.774 μB/f.u.

What should be chosen as the most stable of them? Choose version A.

Version A
Here is a relaxed Ba6Pb2N crystal from Alexandria via LeMat-Bulk. Energies are from PBE-GGA.

POSCAR file:
```
Ba6Pb2N
1.0
4.186 0.000 0.000
0.000 8.466 5.475
0.000 -8.466 5.475
Ba Pb N
6 2 1
Direct
0.000 0.000 0.000 Ba
0.000 0.487 0.686 Ba
0.000 0.686 0.487 Ba
0.500 0.123 0.704 Ba
0.500 0.297 0.297 Ba
0.500 0.704 0.123 Ba
0.000 0.016 0.373 Pb
0.000 0.373 0.016 Pb
0.500 0.526 0.526 N
```

Results
**Size of the total moment**: 0.006 μB/f.u.

Version B
Here is a relaxed Ba6Pb2N crystal from Alexandria via LeMat-Bulk. Energies are from PBE-GGA.

POSCAR file:
```
Ba6Pb2N
1.0
6.951 -4.014 0.000
6.951 4.014 0.000
-4.634 0.000 6.555
Ba Pb N
6 2 1
Direct
0.239 0.760 0.760 Ba
0.240 0.240 0.239 Ba
0.240 0.761 0.240 Ba
0.760 0.239 0.760 Ba
0.760 0.760 0.761 Ba
0.761 0.240 0.240 Ba
0.250 0.250 0.750 Pb
0.750 0.750 0.250 Pb
0.000 0.000 0.000 N
```

Results
**Size of the total moment**: 1.005 μB/f.u.

What should be chosen as the most stable of them? Choose version B.

Version A
Here is a relaxed TbAg3 crystal from Alexandria via LeMat-Bulk. Energies are from PBE-GGA.

POSCAR file:
```
TbAg3
1.0
8.032 0.000 0.000
0.000 7.851 0.000
0.000 0.000 5.504
Tb Ag
4 12
Direct
0.044 0.250 0.116 Tb
0.456 0.750 0.616 Tb
0.544 0.250 0.384 Tb
0.956 0.750 0.884 Tb
0.102 0.750 0.381 Ag
0.193 0.057 0.584 Ag
0.193 0.443 0.584 Ag
0.307 0.557 0.084 Ag
0.307 0.943 0.084 Ag
0.398 0.250 0.881 Ag
0.602 0.750 0.119 Ag
0.693 0.057 0.916 Ag
0.693 0.443 0.916 Ag
0.807 0.557 0.416 Ag
0.807 0.943 0.416 Ag
0.898 0.250 0.619 Ag
```

Results
**Size of the total moment**: 0.000 μB/f.u.

Version B
Here is a relaxed TbAg3 crystal from Alexandria via LeMat-Bulk. Energies are from PBE-GGA.

POSCAR file:
```
TbAg3
1.0
4.416 0.000 0.000
0.000 4.416 0.000
0.000 0.000 4.416
Tb Ag
1 3
Direct
0.000 0.000 0.000 Tb
0.000 0.500 0.500 Ag
0.500 0.000 0.500 Ag
0.500 0.500 0.000 Ag
```

Results
**Size of the total moment**: 0.000 μB/f.u.

What should be chosen as the most stable of them? Choose version A.